Computed, not measured: an optimized crystal structure of PuCoBiO6 at the PBE+U level of DFT.

Results
uncorrected energy: -7.587 eV/atom
V: 120.63 Å³/f.u.
total moment: 2.00 μB/f.u.

Cell and atoms, written as CIF:
```
data_PuCoBiO6
_cell_length_a 5.2171
_cell_length_b 5.2171
_cell_length_c 10.2350
_cell_angle_alpha 90.00
_cell_angle_beta 90.00
_cell_angle_gamma 120.00
_space_group_name_H-M_alt 'P -3 1 c'
_space_group_IT_number 163
_space_group_name_Hall '-P 3 2c'
loop_
_atom_site_label
_atom_site_fract_x
_atom_site_fract_y
_atom_site_fract_z
Pu1 0.3333 0.6667 0.2500
Co1 0.3333 0.6667 0.7500
Bi1 0.0000 0.0000 0.0000
O1 0.0191 0.3702 0.6414
```